Entry from Alexandria: crystalline Dy2Ga9Rh3 at its relaxed geometry (PBE-GGA).

Properties
Energy of formation (eV per atom): -0.71
Space group: C2/c (15)
Total DFT energy (no corrections) (eV per cell): -137.0

a b c (Å): 7.575 7.575 10.476
angles (deg): 90.02 111.04 120.19
Fractional coordinates of all 28 atoms:
Dy1 0.335 0.248 0.749
Dy2 0.665 0.752 0.251
Dy3 0.999 0.586 0.751
Dy4 0.001 0.414 0.249
Ga1 0.459 0.918 0.748
Ga2 0.541 0.082 0.252
Ga3 0.670 0.710 0.752
Ga4 0.330 0.290 0.248
Ga5 0.447 0.640 0.921
Ga6 0.553 0.360 0.079
Ga7 0.219 0.525 0.579
Ga8 0.781 0.475 0.421
Ga9 0.880 0.130 0.750
Ga10 0.120 0.870 0.250
Ga11 0.124 0.980 0.934
Ga12 0.876 0.020 0.066
Ga13 0.545 0.190 0.566
Ga14 0.455 0.810 0.434
Ga15 0.886 0.861 0.579
Ga16 0.114 0.139 0.421
Ga17 0.782 0.307 0.921
Ga18 0.218 0.693 0.079
Rh1 0.500 0.000 0.000
Rh2 0.500 0.500 0.500
Rh3 0.842 0.171 0.499
Rh4 0.158 0.829 0.501
Rh5 0.172 0.342 0.001
Rh6 0.828 0.658 0.999

Entry from Alexandria: crystalline Dy3Ga2Rh6 at its relaxed geometry (PBE-GGA).

Properties
Energy of formation (eV per atom): -0.72
Space group: Im-3m (229)
Total DFT energy (no corrections) (eV per cell): -143.9

a b c (Å): 8.080 8.080 8.080
angles (deg): 109.47 109.47 109.47
Fractional coordinates of all 22 atoms:
Dy1 0.708 0.000 0.708
Dy2 0.292 0.000 0.292
Dy3 0.000 0.292 0.292
Dy4 0.000 0.708 0.708
Dy5 0.292 0.292 0.000
Dy6 0.708 0.708 0.000
Ga1 0.000 0.500 0.000
Ga2 0.500 0.000 0.000
Ga3 0.000 0.000 0.500
Ga4 0.500 0.500 0.500
Rh1 0.656 0.312 0.656
Rh2 0.656 0.000 0.344
Rh3 0.344 0.000 0.656
Rh4 0.344 0.688 0.344
Rh5 0.000 0.656 0.344
Rh6 0.688 0.344 0.344
Rh7 0.312 0.656 0.656
Rh8 0.000 0.344 0.656
Rh9 0.344 0.656 0.000
Rh10 0.656 0.656 0.312
Rh11 0.344 0.344 0.688
Rh12 0.656 0.344 0.000

Entry from Alexandria: crystalline DyGa2Rh at its relaxed geometry (PBE-GGA).

Properties
Energy of formation (eV per atom): -0.70
Space group: R-3m (166)
Total DFT energy (no corrections) (eV per cell): -20.8

a b c (Å): 4.214 4.214 5.529
angles (deg): 67.60 67.60 60.00
Fractional coordinates of all 4 atoms:
Rh1 0.000 0.000 0.000
Ga1 0.717 0.717 0.849
Ga2 0.283 0.283 0.151
Dy1 0.500 0.500 0.500

Entry from Alexandria: crystalline Dy12Ga6Rh at its relaxed geometry (PBE-GGA).

Properties
Energy of formation (eV per atom): -0.27
Space group: R-3 (148)
Total DFT energy (no corrections) (eV per cell): -85.9

a b c (Å): 8.383 8.383 8.383
angles (deg): 99.52 99.52 99.52
Fractional coordinates of all 19 atoms:
Dy1 0.818 0.571 0.432
Dy2 0.432 0.818 0.571
Dy3 0.571 0.432 0.818
Dy4 0.182 0.429 0.568
Dy5 0.568 0.182 0.429
Dy6 0.429 0.568 0.182
Dy7 0.070 0.958 0.318
Dy8 0.042 0.682 0.930
Dy9 0.682 0.930 0.042
Dy10 0.930 0.042 0.682
Dy11 0.958 0.318 0.070
Dy12 0.318 0.070 0.958
Ga1 0.698 0.864 0.379
Ga2 0.621 0.302 0.136
Ga3 0.136 0.621 0.302
Ga4 0.302 0.136 0.621
Ga5 0.379 0.698 0.864
Ga6 0.864 0.379 0.698
Rh1 0.000 0.000 0.000

Entry from Alexandria: crystalline DyGa3Rh at its relaxed geometry (PBE-GGA).

Properties
Energy of formation (eV per atom): -0.72
Space group: Pm-3m (221)
Total DFT energy (no corrections) (eV per cell): -73.8

a b c (Å): 6.431 6.431 6.431
angles (deg): 90.00 90.00 90.00
Fractional coordinates of all 15 atoms:
Dy1 0.000 0.500 0.500
Dy2 0.500 0.000 0.500
Dy3 0.500 0.500 0.000
Ga1 0.500 0.500 0.500
Ga2 0.211 0.211 0.211
Ga3 0.789 0.789 0.211
Ga4 0.789 0.211 0.789
Ga5 0.211 0.789 0.789
Ga6 0.211 0.211 0.789
Ga7 0.789 0.789 0.789
Ga8 0.211 0.789 0.211
Ga9 0.789 0.211 0.211
Rh1 0.500 0.000 0.000
Rh2 0.000 0.500 0.000
Rh3 0.000 0.000 0.500

Entry from Alexandria: crystalline DyGa2Rh at its relaxed geometry (PBE-GGA).

Properties
Energy of formation (eV per atom): -0.58
Space group: P4/mmm (123)
Total DFT energy (no corrections) (eV per cell): -20.3

a b c (Å): 3.239 3.239 6.859
angles (deg): 90.00 90.00 90.00
Fractional coordinates of all 4 atoms:
Rh1 0.500 0.500 0.000
Ga1 0.000 0.000 0.801
Ga2 0.000 0.000 0.199
Dy1 0.500 0.500 0.500

Entry from Alexandria: crystalline Dy5GaRh2 at its relaxed geometry (PBE-GGA).

Properties
Energy of formation (eV per atom): -0.64
Space group: I4/mcm (140)
Total DFT energy (no corrections) (eV per cell): -91.8

a b c (Å): 7.697 7.697 8.533
angles (deg): 116.81 116.81 90.00
Fractional coordinates of all 16 atoms:
Dy1 0.521 0.699 0.720
Dy2 0.801 0.979 0.280
Dy3 0.000 0.000 0.000
Dy4 0.500 0.500 0.000
Dy5 0.199 0.021 0.720
Dy6 0.699 0.199 0.720
Dy7 0.021 0.521 0.720
Dy8 0.301 0.801 0.280
Dy9 0.979 0.479 0.280
Dy10 0.479 0.301 0.280
Ga1 0.750 0.750 0.500
Ga2 0.250 0.250 0.500
Rh1 0.138 0.362 0.000
Rh2 0.638 0.138 0.000
Rh3 0.362 0.862 0.000
Rh4 0.862 0.638 0.000

Entry from Alexandria: crystalline DyGa3Rh at its relaxed geometry (PBE-GGA).

Properties
Energy of formation (eV per atom): -0.59
Space group: C2/m (12)
Total DFT energy (no corrections) (eV per cell): -48.0

a b c (Å): 5.637 6.183 6.191
angles (deg): 119.96 89.99 90.00
Fractional coordinates of all 10 atoms:
Dy1 0.251 0.334 0.668
Dy2 0.749 0.666 0.332
Ga1 0.750 0.615 0.807
Ga2 0.750 0.192 0.807
Ga3 0.250 0.807 0.615
Ga4 0.750 0.193 0.385
Ga5 0.250 0.808 0.193
Ga6 0.250 0.385 0.193
Rh1 0.000 0.000 0.000
Rh2 0.500 0.000 0.000

Entry from Alexandria: crystalline Dy2Ga4Rh3 at its relaxed geometry (PBE-GGA).

Properties
Energy of formation (eV per atom): -0.70
Space group: Fmmm (69)
Total DFT energy (no corrections) (eV per cell): -49.7

a b c (Å): 5.488 5.488 6.881
angles (deg): 101.44 101.44 120.17
Fractional coordinates of all 9 atoms:
Dy1 0.626 0.626 0.252
Dy2 0.374 0.374 0.748
Ga1 0.008 0.669 0.677
Ga2 0.669 0.008 0.677
Ga3 0.992 0.331 0.323
Ga4 0.331 0.992 0.323
Rh1 0.500 0.000 0.000
Rh2 0.000 0.000 0.000
Rh3 0.000 0.500 0.000

Entry from Alexandria: crystalline DyGaRh2 at its relaxed geometry (PBE-GGA).

Properties
Energy of formation (eV per atom): -0.82
Space group: Immm (71)
Total DFT energy (no corrections) (eV per cell): -25.6

a b c (Å): 4.565 4.567 4.567
angles (deg): 90.11 120.03 120.03
Fractional coordinates of all 4 atoms:
Rh1 0.000 0.000 0.000
Rh2 0.000 0.500 0.500
Ga1 0.500 0.750 0.250
Dy1 0.500 0.250 0.750

Entry from Alexandria: crystalline Dy3Ga4Rh2 at its relaxed geometry (PBE-GGA).

Properties
Energy of formation (eV per atom): -0.78
Space group: C2/m (12)
Total DFT energy (no corrections) (eV per cell): -47.6

a b c (Å): 4.314 5.786 8.275
angles (deg): 71.84 74.89 68.11
Fractional coordinates of all 9 atoms:
Dy1 0.314 0.735 0.638
Dy2 0.000 0.000 0.000
Dy3 0.686 0.265 0.362
Ga1 0.272 0.386 0.070
Ga2 0.728 0.614 0.930
Ga3 0.021 0.318 0.641
Ga4 0.979 0.682 0.359
Rh1 0.403 0.929 0.264
Rh2 0.597 0.071 0.736

Entry from Alexandria: crystalline DyGa6Rh4 at its relaxed geometry (PBE-GGA).

Properties
Energy of formation (eV per atom): -0.64
Space group: P-6m2 (187)
Total DFT energy (no corrections) (eV per cell): -59.2

a b c (Å): 3.796 7.445 7.445
angles (deg): 120.00 90.00 90.00
Fractional coordinates of all 11 atoms:
Dy1 0.000 0.000 0.000
Ga1 0.000 0.532 0.064
Ga2 0.500 0.616 0.808
Ga3 0.000 0.532 0.468
Ga4 0.000 0.936 0.468
Ga5 0.500 0.192 0.808
Ga6 0.500 0.192 0.384
Rh1 0.500 0.799 0.597
Rh2 0.500 0.403 0.201
Rh3 0.500 0.799 0.201
Rh4 0.000 0.333 0.667

> Look up the total DFT energy (no corrections) of the eighth one.

-48.0 eV per cell